Entry 1:
## CaLa2Pb3 (GGA-PBE)

Data for a geometry-optimized CaLa2Pb3 structure.

POSCAR file:
```
CaLa2Pb3
1.0
5.202 0.000 0.020
2.601 7.820 0.010
-0.037 0.000 9.214
La Pb Ca
4 6 2
Direct
0.332 0.336 0.500
0.000 0.000 0.000
0.000 0.000 0.500
0.668 0.664 0.500
0.500 0.000 0.754
0.833 0.334 0.754
0.167 0.666 0.754
0.500 0.000 0.246
0.833 0.334 0.246
0.167 0.666 0.246
0.330 0.340 0.000
0.670 0.660 0.000
```

Results
For the formation energy, the calculation gives -0.569 eV per atom. Its energy relative to the lowest polymorph listed for this composition is 0.000 eV/atom.


Entry 2:
## Ca4LaPb5 (GGA-PBE)

Data for a geometry-optimized Ca4LaPb5 structure.

POSCAR file:
```
Ca4LaPb5
1.0
-1.657 -1.743 2.694
0.352 -3.112 -1.797
20.548 -3.619 10.298
Pb La Ca
5 1 4
Direct
0.500 0.500 0.896
0.500 0.500 0.500
0.500 0.500 0.302
0.500 0.500 0.104
0.500 0.500 0.698
0.000 0.000 0.000
0.000 0.000 0.203
0.000 0.000 0.599
0.000 0.000 0.401
0.000 0.000 0.797
```

Results
For the formation energy, the calculation gives -0.528 eV per atom.


Entry 3:
## Ca3LaPb (GGA-PBE)

Data for a geometry-optimized Ca3LaPb structure.

POSCAR file:
```
Ca3LaPb
1.0
-1.518 4.565 3.344
1.025 -3.183 4.811
5.565 1.831 0.026
Ca Pb La
3 1 1
Direct
0.500 0.000 0.000
0.000 0.000 0.500
0.000 0.500 0.000
0.500 0.500 0.500
0.000 0.000 0.000
```

Results
For the formation energy, the calculation gives 0.784 eV per atom. Its energy relative to the lowest polymorph listed for this composition is 0.672 eV/atom.


Entry 4:
## CaLa3Pb3 (GGA-PBE)

Data for a geometry-optimized CaLa3Pb3 structure.

POSCAR file:
```
CaLa3Pb3
1.0
-0.460 -1.484 8.086
-7.272 -1.016 -3.726
1.480 -8.002 -1.171
Pb Ca La
6 2 6
Direct
0.506 0.163 0.318
0.059 0.059 0.809
0.941 0.941 0.191
0.837 0.494 0.682
0.163 0.506 0.318
0.494 0.837 0.682
0.714 0.714 0.912
0.286 0.286 0.088
0.221 0.779 0.000
0.373 0.373 0.633
0.846 0.154 0.500
0.779 0.221 0.000
0.154 0.846 0.500
0.627 0.627 0.367
```

Results
For the formation energy, the calculation gives -0.371 eV per atom.


Entry 5:
## CaLa2Pb (GGA-PBE)

Data for a geometry-optimized CaLa2Pb structure.

POSCAR file:
```
CaLa2Pb
1.0
-2.412 2.511 -1.389
-3.141 -1.112 3.442
2.923 5.216 4.353
Pb La Ca
1 2 1
Direct
0.000 0.000 0.502
0.500 0.500 0.248
0.000 0.000 0.024
0.500 0.500 0.725
```

Results
For the formation energy, the calculation gives -0.261 eV per atom.


Entry 6:
## CaLa2Pb (GGA-PBE)

Data for a geometry-optimized CaLa2Pb structure.

POSCAR file:
```
CaLa2Pb
1.0
6.387 -0.087 -0.194
2.586 5.841 0.194
-4.367 -3.063 3.519
Ca La Pb
1 2 1
Direct
0.252 0.752 0.500
0.749 0.249 0.500
0.000 0.000 0.000
0.499 0.499 0.000
```

Results
For the formation energy, the calculation gives -0.284 eV per atom.


Entry 7:
## CaLa2Pb (GGA-PBE)

Data for a geometry-optimized CaLa2Pb structure.

POSCAR file:
```
CaLa2Pb
1.0
3.692 0.024 0.000
-0.032 3.692 0.000
0.000 0.000 10.774
Ca La Pb
1 2 1
Direct
0.500 0.500 0.750
0.000 0.000 0.460
0.000 0.000 0.040
0.500 0.500 0.250
```

Results
For the formation energy, the calculation gives -0.207 eV per atom.


Entry 8:
## CaLa3Pb2 (GGA-PBE)

Data for a geometry-optimized CaLa3Pb2 structure.

POSCAR file:
```
CaLa3Pb2
1.0
6.863 0.000 0.000
0.000 6.750 0.000
-3.431 -3.375 8.990
La Ca Pb
6 2 4
Direct
0.569 0.321 0.641
0.431 0.679 0.359
0.500 0.250 0.000
0.928 0.179 0.359
0.072 0.821 0.641
0.500 0.750 0.000
0.000 0.750 0.000
0.000 0.250 0.000
0.888 0.634 0.268
0.112 0.366 0.732
0.381 0.134 0.268
0.619 0.866 0.732
```

Results
For the formation energy, the calculation gives -0.468 eV per atom. Its energy relative to the lowest polymorph listed for this composition is 0.000 eV/atom.


Entry 9:
## CaLa2Pb (GGA-PBE)

Data for a geometry-optimized CaLa2Pb structure.

POSCAR file:
```
CaLa2Pb
1.0
-3.784 1.688 -1.842
-3.582 -2.693 -0.689
-5.733 1.801 7.847
Pb La Ca
1 2 1
Direct
0.666 0.666 0.003
0.065 0.065 0.806
0.269 0.269 0.194
0.501 0.501 0.498
```

Results
For the formation energy, the calculation gives -0.061 eV per atom.


Entry 10:
## CaLa4Pb (GGA-PBE)

Data for a geometry-optimized CaLa4Pb structure.

POSCAR file:
```
CaLa4Pb
1.0
0.000 4.759 4.759
4.759 0.000 4.759
4.759 4.759 0.000
La Ca Pb
4 1 1
Direct
0.377 0.870 0.377
0.377 0.377 0.870
0.377 0.377 0.377
0.870 0.377 0.377
0.000 0.000 0.000
0.750 0.750 0.750
```

Results
For the formation energy, the calculation gives 0.079 eV per atom.


Entry 11:
## Ca2LaPb3 (GGA-PBE)

Data for a geometry-optimized Ca2LaPb3 structure.

POSCAR file:
```
Ca2LaPb3
1.0
3.627 0.000 0.000
0.000 3.627 0.000
0.000 0.000 13.917
Ca La Pb
2 1 3
Direct
0.500 0.500 0.163
0.500 0.500 0.837
0.500 0.500 0.500
0.000 0.000 0.328
0.000 0.000 0.000
0.000 0.000 0.672
```

Results
For the formation energy, the calculation gives -0.542 eV per atom.


Entry 12:
## Ca2LaPb5 (GGA-PBE)

Data for a geometry-optimized Ca2LaPb5 structure.

POSCAR file:
```
Ca2LaPb5
1.0
6.525 -0.166 -2.127
-3.474 5.525 -2.129
0.091 0.161 6.862
Pb La Ca
5 1 2
Direct
0.278 0.777 0.000
0.278 0.278 0.500
0.278 0.278 0.000
0.778 0.278 0.000
0.778 0.778 0.500
0.778 0.778 0.000
0.278 0.778 0.500
0.778 0.278 0.500
```

Results
For the formation energy, the calculation gives -0.421 eV per atom.


Entry 13:
## CaLa5Pb6 (GGA-PBE)

Data for a geometry-optimized CaLa5Pb6 structure.

POSCAR file:
```
CaLa5Pb6
1.0
5.395 -0.033 2.488
0.039 7.350 0.013
0.840 -0.022 9.919
La Pb Ca
5 6 1
Direct
0.663 0.500 0.665
0.658 0.000 0.665
0.342 0.000 0.335
0.000 0.500 0.000
0.337 0.500 0.335
0.500 0.756 0.000
0.154 0.247 0.673
0.846 0.247 0.327
0.846 0.753 0.327
0.154 0.753 0.673
0.500 0.244 0.000
0.000 0.000 0.000
```

Results
For the formation energy, the calculation gives -0.571 eV per atom.


Entry 14:
## Ca2LaPb3 (GGA-PBE)

Data for a geometry-optimized Ca2LaPb3 structure.

POSCAR file:
```
Ca2LaPb3
1.0
-5.047 4.075 5.035
1.675 -1.439 -7.909
-5.710 -7.195 0.100
La Pb Ca
2 6 4
Direct
0.664 0.336 0.000
0.336 0.664 0.000
0.166 0.834 0.747
0.500 0.500 0.252
0.166 0.834 0.253
0.834 0.166 0.253
0.500 0.500 0.748
0.834 0.166 0.747
0.000 0.000 0.500
0.000 0.000 0.000
0.334 0.666 0.500
0.666 0.334 0.500
```

Results
For the formation energy, the calculation gives -0.540 eV per atom.


Entry 15:
## Ca3LaPb (GGA-PBE)

Data for a geometry-optimized Ca3LaPb structure.

POSCAR file:
```
Ca3LaPb
1.0
5.878 0.000 0.000
0.000 5.878 0.000
0.000 0.000 5.878
Ca La Pb
3 1 1
Direct
0.000 0.500 0.000
0.500 0.000 0.000
0.000 0.000 0.500
0.500 0.500 0.500
0.000 0.000 0.000
```

Results
For the formation energy, the calculation gives 0.111 eV per atom. Its energy relative to the lowest polymorph listed for this composition is 0.000 eV/atom.


Entry 16:
## CaLa2Pb (GGA-PBE)

Data for a geometry-optimized CaLa2Pb structure.

POSCAR file:
```
CaLa2Pb
1.0
-1.950 5.632 -0.798
0.112 -0.479 -3.653
-5.785 -2.114 -0.782
La Pb Ca
2 1 1
Direct
0.000 0.447 0.470
0.000 0.053 0.030
0.500 0.250 0.250
0.500 0.750 0.750
```

Results
For the formation energy, the calculation gives -0.228 eV per atom.


Entry 17:
## CaLa2Pb (GGA-PBE)

Data for a geometry-optimized CaLa2Pb structure.

POSCAR file:
```
CaLa2Pb
1.0
-0.682 -6.870 -0.471
4.736 3.396 -3.732
3.136 -1.204 1.422
La Pb Ca
2 1 1
Direct
0.500 0.500 0.000
0.000 0.000 0.000
0.500 0.000 0.500
0.000 0.500 0.500
```

Results
For the formation energy, the calculation gives -0.193 eV per atom.


Entry 18:
## CaLa2PtPb (GGA-PBE)

Data for a geometry-optimized CaLa2PtPb structure.

POSCAR file:
```
CaLa2PtPb
1.0
5.605 0.000 0.000
0.000 5.605 0.000
0.000 0.000 5.570
Ca La Pb Pt
1 2 1 1
Direct
0.000 0.000 0.500
0.000 0.500 0.000
0.500 0.000 0.000
0.500 0.500 0.500
0.000 0.000 0.000
```

Results
For the formation energy, the calculation gives -0.614 eV per atom.


Entry 19:
## Ca2LaPtPb (GGA-PBE)

Data for a geometry-optimized Ca2LaPtPb structure.

POSCAR file:
```
Ca2LaPtPb
1.0
5.527 0.000 0.000
0.000 5.527 0.000
0.000 0.000 5.561
La Pt Ca Pb
1 1 2 1
Direct
0.000 0.000 0.500
0.000 0.000 0.000
0.500 0.000 0.000
0.000 0.500 0.000
0.500 0.500 0.500
```

Results
For the formation energy, the calculation gives -0.609 eV per atom.


Entry 20:
## Ca2LaPbS (GGA-PBE)

Data for a geometry-optimized Ca2LaPbS structure.

POSCAR file:
```
Ca2LaPbS
1.0
6.299 0.000 0.000
0.000 5.793 0.000
0.000 0.000 6.299
La Ca S Pb
1 2 1 1
Direct
0.000 0.000 0.000
0.500 0.000 0.000
0.000 0.000 0.500
0.500 0.500 0.500
0.000 0.500 0.000
```

Results
Its formation energy (no corrections) is 0.836 eV/atom. Its energy relative to the lowest polymorph listed for this composition is 1.850 eV/atom.